Computed, not measured: CaPrNd2 after structural relaxation at the PBE level of DFT.

Structure (POSCAR):
```
CaPrNd2
1.0
1.860 1.074 12.297
-1.860 1.074 12.297
0.000 -2.148 12.297
Ca Pr Nd
1 1 2
Cartesian
0.000 0.000 0.000
0.000 0.000 6.127
0.000 0.000 21.392
0.000 0.000 27.769
```

## Properties
- DFT formation energy (meV per atom) = 36
- density (g/cm³) = 5.29
- total DFT energy (no corrections) (eV/atom) = -4.04
- SG = R3m